Entry 1:
DFT (GGA-PBE) results for a relaxed YInSn3 crystal.

Properties
DOS at the Fermi energy	2.68	states/eV per cell
calculated formation energy	1.84	eV per formula unit
polymorph energy (0 for the lowest one)	0.665	eV/atom

Lattice parameters (Å, degrees): 5.786 5.786 5.786 90.00 90.00 90.00
Fractional positions:
Y 0.000 0.000 0.000
Sn 0.500 0.000 0.000
Sn 0.000 0.000 0.500
Sn 0.000 0.500 0.000
In 0.500 0.500 0.500

Entry 2:
DFT (GGA-PBE) results for a relaxed Ca4SiTe3 crystal.

Properties
DOS at the Fermi energy	1.68	states/eV per cell
total energy	-31.755	eV per cell

Lattice parameters (Å, degrees): 6.345 6.346 7.996 64.01 64.26 88.94
Each line ends with the local moment (μB).
Fractional positions:
Te 0.745 0.262 0.497  0.04
Te 0.260 0.743 0.497  0.04
Te 0.503 0.502 0.997  0.05
Ca 0.003 0.502 0.997  0.05
Ca 0.766 0.767 0.488  0.02
Ca 0.239 0.238 0.507  0.02
Ca 0.503 0.002 0.997  0.05
Si 0.003 0.002 0.997  0.40

Entry 3:
DFT (GGA-PBE) results for a relaxed LiHo6Pd12 crystal.

Properties
DOS at the Fermi energy	7.87	states/eV per cell
calculated formation energy	-14.14	eV per formula unit

Lattice parameters (Å, degrees): 7.203 7.203 7.203 97.06 97.06 97.06
Fractional positions:
Ho 0.747 0.316 0.157
Ho 0.316 0.157 0.747
Ho 0.157 0.747 0.316
Ho 0.843 0.253 0.684
Ho 0.684 0.843 0.253
Ho 0.253 0.684 0.843
Pd 0.496 0.788 0.554
Pd 0.350 0.042 0.103
Pd 0.958 0.897 0.650
Pd 0.212 0.446 0.504
Pd 0.897 0.650 0.958
Pd 0.042 0.103 0.350
Pd 0.103 0.350 0.042
Pd 0.788 0.554 0.496
Pd 0.446 0.504 0.212
Pd 0.554 0.496 0.788
Pd 0.504 0.212 0.446
Pd 0.650 0.958 0.897
Li 0.000 0.000 0.000